A relaxed KMg2Pd2 crystal, computed with PBE.

Properties
Space-group type: P4/mbm (127)
N(E_F) in states/eV/atom: 0.312
Energy above the most stable polymorph in this dataset in eV/f.u.: 0.00

a = 8.2378 Å, b = 8.2378 Å, c = 2.9947 Å
α = 90.00°, β = 90.00°, γ = 90.00°
Fractional positions:
K 0.0000 0.0000 0.0000
K 0.5000 0.5000 0.0000
Mg 0.1368 0.3632 0.5000
Mg 0.3632 0.8632 0.5000
Mg 0.6368 0.1368 0.5000
Mg 0.8632 0.6368 0.5000
Pd 0.1498 0.6498 0.0000
Pd 0.3502 0.1498 0.0000
Pd 0.6498 0.8502 0.0000
Pd 0.8502 0.3502 0.0000

A relaxed Sm2DyPuSb4 crystal, computed with PBE.

Properties
Space-group type: P2/m (10)
N(E_F) in states/eV/atom: 2.043
Raw total energy in eV for the cell shown: -52.96

a = 7.6807 Å, b = 4.4425 Å, c = 7.6856 Å
α = 90.00°, β = 109.42°, γ = 90.00°
Fractional positions:
Sm 0.0000 0.0000 0.0000
Sm 0.5000 0.5000 0.0000
Dy 0.0000 0.5000 0.5000
Pu 0.5000 0.0000 0.5000
Sb 0.2477 0.0000 0.7445
Sb 0.2512 0.5000 0.2550
Sb 0.7488 0.5000 0.7450
Sb 0.7523 0.0000 0.2555

A relaxed LaTmCuSn crystal, computed with PBE.

Properties
Space-group type: F-43m (216)
N(E_F) in states/eV/atom: 0.970
Raw total energy in eV for the cell shown: -19.14

a = 5.2645 Å, b = 5.2645 Å, c = 5.2645 Å
α = 60.00°, β = 60.00°, γ = 60.00°
Fractional positions:
La 0.0000 0.0000 0.0000
Tm 0.5000 0.5000 0.5000
Cu 0.7500 0.7500 0.7500
Sn 0.2500 0.2500 0.2500

Among the records above, which one has the lowest N(E_F)?
KMg2Pd2

What is the N(E_F) in the first record?
0.312 states/eV/atom

Please write out number 1 again, unchanged.
A relaxed KMg2Pd2 crystal, computed with PBE.

Properties
Space-group type: P4/mbm (127)
N(E_F) in states/eV/atom: 0.312
Energy above the most stable polymorph in this dataset in eV/f.u.: 0.00

a = 8.2378 Å, b = 8.2378 Å, c = 2.9947 Å
α = 90.00°, β = 90.00°, γ = 90.00°
Fractional positions:
K 0.0000 0.0000 0.0000
K 0.5000 0.5000 0.0000
Mg 0.1368 0.3632 0.5000
Mg 0.3632 0.8632 0.5000
Mg 0.6368 0.1368 0.5000
Mg 0.8632 0.6368 0.5000
Pd 0.1498 0.6498 0.0000
Pd 0.3502 0.1498 0.0000
Pd 0.6498 0.8502 0.0000
Pd 0.8502 0.3502 0.0000